A geometry-optimized CdSiSN2 structure, computed with PBE.

a = 4.177 Å, b = 4.177 Å, c = 5.560 Å
α = 90.00°, β = 90.00°, γ = 90.00°
Space group P4/mmm (No. 123)
One atom of each set of equivalent atoms:
Cd 0.000 0.000 0.000 [1 per cell]
Si 0.500 0.500 0.500 [1 per cell]
S 0.000 0.000 0.500 [1 per cell]
N 0.000 0.500 0.000 [2 per cell]

Properties
**Electronic total energy**: -3.534 eV per atom
**Formation energy (no corrections)**: 1.89 eV/atom